Entry 1:
# NbNiAu2

NbNiAu2 after structural relaxation (GGA-PBE, OQMD).

Calculated values
**Magnetic moment**: 0.0 μB per cell
**E**: -5.5483 eV per atom

a b c (Å): 4.4997 4.4997 4.4997
angles (deg): 60.00 60.00 60.00
Fractional coordinates of all 4 atoms:
Ni: 0.0000 0.0000 0.0000
Au: 0.5000 0.5000 0.5000
Au: 0.7500 0.7500 0.7500
Nb: 0.2500 0.2500 0.2500

---

Entry 2:
# KFe3Se5

KFe3Se5 after structural relaxation (GGA-PBE, OQMD).

Calculated values
**Magnetic moment**: 6.7 μB per cell
**E**: -5.1757 eV per atom

a b c (Å): 5.6328 5.6328 7.2075
angles (deg): 90.00 90.00 120.00
Site moments in Bohr magnetons follow the coordinates.
Fractional coordinates of all 9 atoms:
Se: 0.3333 0.6667 0.2582  0.01
Se: 0.3333 0.6667 0.7418  0.01
Se: 0.0000 0.0000 0.5000  0.08
Se: 0.6667 0.3333 0.7418  0.01
Se: 0.6667 0.3333 0.2582  0.01
K: 0.0000 0.0000 0.0000  0.00
Fe: 0.5000 0.0000 0.5000  2.17
Fe: 0.5000 0.5000 0.5000  2.25
Fe: 0.0000 0.5000 0.5000  2.00

---

> Number 2 is which compound?

KFe3Se5

---

> Look up the E of the second one.

-5.1757 eV per atom